CaNiAs | PBE | relaxed

Lattice parameters (Å, degrees): 3.3549 3.3549 10.2136 90.00 90.00 90.00
Atoms (fractional coordinates):
1 Ca 0.0000 0.0000 0.0000
2 Ca 0.5000 0.5000 0.5000
3 Ni 0.0000 0.0000 0.7141
4 Ni 0.5000 0.5000 0.2141
5 As 0.0000 0.0000 0.2904
6 As 0.5000 0.5000 0.7904

Properties
electronic total energy	-4.504	eV per atom
N(E_F)	6.4	states/eV per cell
E_form	-0.360	eV per atom